{"formula": "YCdBr2", "functional": "PBE", "state": "optimized geometry", "e_form_raw_ev_per_atom": -1.039, "m_tot_mub_per_cell": 0.00, "space_group": "P4/mmm, No. 123", "vol_a3_per_atom": 31.24, "e_above_lowest_polymorph_ev_per_atom": 0.026, "lattice": [[3.526, 0.000, 0.000], [0.000, 3.526, 0.000], [0.000, 0.000, 10.052]], "species": ["Y", "Cd", "Br", "Br"], "frac_coords": [[0.000, 0.000, 0.000], [0.000, 0.000, 0.500], [0.500, 0.500, 0.170], [0.500, 0.500, 0.830]]}